InCoNiAs | PBE-GGA | optimized geometry

## Properties
The calculation puts the theoretical density at 7.83 g/cm3. The formation energy comes out at 5 meV/atom. As for the space-group type: Cm. The density of states at the Fermi level comes out at 2.26 states/eV/f.u.

abc: 6.070 3.221 7.971
angles: 90.00 123.23 90.00
Element x y z (fractional)
1 Ni 0.973 0.000 0.159
2 Ni 0.973 0.500 0.659
3 As 0.292 0.000 0.869
4 As 0.292 0.500 0.369
5 Co 0.208 0.000 0.541
6 Co 0.208 0.500 0.041
7 In 0.731 0.000 0.779
8 In 0.731 0.500 0.279